P) Material: Re2TcMo
Method: DFT, GGA-PBEsol
State: optimized geometry Values from VASP.

```
&SYSTEM
  ibrav = 0, nat = 4, ntyp = 3
/
ATOMIC_SPECIES
Mo 95.94 Mo.upf
Tc 98.00 Tc.upf
Re 186.21 Re.upf
CELL_PARAMETERS angstrom
2.7407 0.0000 0.0000
1.3704 2.3735 0.0000
1.3704 0.7912 9.0264
ATOMIC_POSITIONS angstrom
Mo 0.0000 0.0000 0.0000
Tc 2.7407 1.5824 4.5132
Re 4.1111 2.3735 6.7121
Re 1.3704 0.7912 2.3143
```

Calculated values
Symmetry ... R-3m, No. 166
DOS at the Fermi energy ... 3.36 states/eV per cell
Density ... 16.0 Mg/m³

---

Q) Material: Re2TcMo
Method: DFT, GGA-PBEsol
State: optimized geometry Values from VASP.

```
&SYSTEM
  ibrav = 0, nat = 4, ntyp = 3
/
ATOMIC_SPECIES
Re 186.21 Re.upf
Mo 95.94 Mo.upf
Tc 98.00 Tc.upf
CELL_PARAMETERS angstrom
-2.8629 -0.1908 1.1283
1.0435 -1.6828 2.3632
0.9458 5.1888 3.2772
ATOMIC_POSITIONS angstrom
Re 0.0035 0.0194 0.0123
Mo -0.2151 2.8738 4.1525
Tc 0.4904 2.6903 1.6991
Re -0.6795 0.3262 2.5434
```

Calculated values
Symmetry ... P4mm, No. 99
DOS at the Fermi energy ... 3.31 states/eV per cell
Density ... 15.9 Mg/m³

---

R) Material: Re2TcMo
Method: DFT, GGA-PBEsol
State: optimized geometry Values from VASP.

```
&SYSTEM
  ibrav = 0, nat = 4, ntyp = 3
/
ATOMIC_SPECIES
Tc 98.00 Tc.upf
Re 186.21 Re.upf
Mo 95.94 Mo.upf
CELL_PARAMETERS angstrom
2.7520 0.0000 0.0000
0.0000 4.7537 0.0113
0.0000 -1.5772 4.4844
ATOMIC_POSITIONS angstrom
Tc 1.3760 0.0000 0.0000
Re 0.0000 -0.7886 2.2422
Mo 1.3760 1.5883 2.2479
Re 0.0000 2.3768 0.0057
```

Calculated values
Symmetry ... Cmmm, No. 65
DOS at the Fermi energy ... 3.45 states/eV per cell
Density ... 16.0 Mg/m³

---

Relative energy of each structure, in meV per atom: P) 5; Q) 65; R) 0.

---

P) Material: ReMo2W
Method: DFT, GGA-PBEsol
State: optimized geometry Values from VASP.

```
&SYSTEM
  ibrav = 0, nat = 4, ntyp = 3
/
ATOMIC_SPECIES
W 183.84 W.upf
Re 186.21 Re.upf
Mo 95.94 Mo.upf
CELL_PARAMETERS angstrom
3.8379 0.0000 0.0000
0.0000 3.8379 0.0000
-1.9190 -1.9190 4.1771
ATOMIC_POSITIONS angstrom
W 0.0000 0.0000 0.0000
Re 1.9190 1.9190 0.0000
Mo 0.0000 1.9190 2.0886
Mo 1.9190 0.0000 2.0886
```

Calculated values
Symmetry ... I4/mmm, No. 139
DOS at the Fermi energy ... 4.75 states/eV per cell
Density ... 15.2 Mg/m³

---

Q) Material: ReMo2W
Method: DFT, GGA-PBEsol
State: optimized geometry Values from VASP.

```
&SYSTEM
  ibrav = 0, nat = 4, ntyp = 3
/
ATOMIC_SPECIES
Mo 95.94 Mo.upf
W 183.84 W.upf
Re 186.21 Re.upf
CELL_PARAMETERS angstrom
3.1229 0.0000 0.0000
0.0000 3.1229 0.0000
0.0000 0.0000 6.2504
ATOMIC_POSITIONS angstrom
Mo 1.5614 1.5614 1.5211
W 1.5614 1.5614 4.6824
Mo 0.0000 0.0000 0.0209
Re 0.0000 0.0000 3.1512
```

Calculated values
Symmetry ... P4mm, No. 99
DOS at the Fermi energy ... 2.81 states/eV per cell
Density ... 15.3 Mg/m³

---

R) Material: ReMo2W
Method: DFT, GGA-PBEsol
State: optimized geometry Values from VASP.

```
&SYSTEM
  ibrav = 0, nat = 4, ntyp = 3
/
ATOMIC_SPECIES
Re 186.21 Re.upf
Mo 95.94 Mo.upf
W 183.84 W.upf
CELL_PARAMETERS angstrom
-0.9602 -2.4721 1.6393
0.6910 -2.5896 -3.5004
4.2869 1.8134 2.2810
ATOMIC_POSITIONS angstrom
Re -0.4801 -1.2360 0.8196
Mo 2.1046 -0.3636 0.6844
Mo 1.9131 -2.8846 -0.2647
W 0.3455 -1.2948 -1.7502
```

Calculated values
Symmetry ... Immm, No. 71
DOS at the Fermi energy ... 2.88 states/eV per cell
Density ... 15.3 Mg/m³

---

Relative energy of each structure, in meV per atom: P) 296; Q) 11; R) 0.

---

P) Material: ReMo2W
Method: DFT, GGA-PBEsol
State: optimized geometry Values from VASP.

```
&SYSTEM
  ibrav = 0, nat = 4, ntyp = 3
/
ATOMIC_SPECIES
Mo 95.94 Mo.upf
W 183.84 W.upf
Re 186.21 Re.upf
CELL_PARAMETERS angstrom
-2.2296 1.4114 -0.6117
-2.0958 -4.5953 1.0923
1.7561 2.7830 3.9902
ATOMIC_POSITIONS angstrom
Mo 0.8780 1.3915 1.9951
W -1.0479 -2.2976 0.5462
Re -1.1148 0.7057 -0.3058
Mo -1.2846 -0.2004 2.2354
```

Calculated values
Symmetry ... C2/m, No. 12
DOS at the Fermi energy ... 3.02 states/eV per cell
Density ... 15.3 Mg/m³

---

Q) Material: ReMo2W
Method: DFT, GGA-PBEsol
State: optimized geometry Values from VASP.

```
&SYSTEM
  ibrav = 0, nat = 4, ntyp = 3
/
ATOMIC_SPECIES
Mo 95.94 Mo.upf
Re 186.21 Re.upf
W 183.84 W.upf
CELL_PARAMETERS angstrom
-1.9341 1.8972 -0.3586
-1.9090 -1.9550 -0.0473
-0.8757 0.6568 8.1988
ATOMIC_POSITIONS angstrom
Mo -2.1531 0.1448 1.9651
Mo -0.0010 0.0007 0.0089
Re -0.4360 0.3270 4.0816
W -2.5666 0.4549 5.8367
```

Calculated values
Symmetry ... P4mm, No. 99
DOS at the Fermi energy ... 3.31 states/eV per cell
Density ... 15.1 Mg/m³

---

R) Material: ReMo2W
Method: DFT, GGA-PBEsol
State: optimized geometry Values from VASP.

```
&SYSTEM
  ibrav = 0, nat = 4, ntyp = 3
/
ATOMIC_SPECIES
Re 186.21 Re.upf
W 183.84 W.upf
Mo 95.94 Mo.upf
CELL_PARAMETERS angstrom
-3.7524 0.6656 -2.2256
-3.5783 -2.4069 0.9376
-3.4546 1.8725 2.0090
ATOMIC_POSITIONS angstrom
Re 0.0000 0.0000 0.0000
W -5.3926 0.0656 0.3605
Mo -2.6963 0.0328 0.1802
Mo -8.0889 0.0984 0.5407
```

Calculated values
Symmetry ... Fm-3m, No. 225
DOS at the Fermi energy ... 3.13 states/eV per cell
Density ... 15.4 Mg/m³

---

Relative energy of each structure, in meV per atom: P) 0; Q) 255; R) 12.

---

P) Material: ReMo2W
Method: DFT, GGA-PBEsol
State: optimized geometry Values from VASP.

```
&SYSTEM
  ibrav = 0, nat = 4, ntyp = 3
/
ATOMIC_SPECIES
Re 186.21 Re.upf
Mo 95.94 Mo.upf
W 183.84 W.upf
CELL_PARAMETERS angstrom
-1.3835 -0.3931 2.2945
1.6498 -2.1018 -0.4402
6.3746 4.0529 4.5381
ATOMIC_POSITIONS angstrom
Re 3.1909 2.0287 2.2716
Mo 6.3693 4.0496 4.5344
Mo 4.9097 1.7894 4.3276
W 1.7321 -0.2309 2.0654
```

Calculated values
Symmetry ... Cmm2, No. 35
DOS at the Fermi energy ... 3.27 states/eV per cell
Density ... 15.3 Mg/m³

---

Q) Material: ReMo2W
Method: DFT, GGA-PBEsol
State: optimized geometry Values from VASP.

```
&SYSTEM
  ibrav = 0, nat = 4, ntyp = 3
/
ATOMIC_SPECIES
Mo 95.94 Mo.upf
Re 186.21 Re.upf
W 183.84 W.upf
CELL_PARAMETERS angstrom
3.1179 0.0000 0.0000
0.0000 4.4056 0.0000
0.0000 0.0000 4.4271
ATOMIC_POSITIONS angstrom
Mo 0.0000 0.0000 0.0000
Mo 1.5589 2.2028 0.0000
Re 1.5589 0.0000 2.2135
W 0.0000 2.2028 2.2135
```

Calculated values
Symmetry ... Pmmm, No. 47
DOS at the Fermi energy ... 3.02 states/eV per cell
Density ... 15.3 Mg/m³

---

Relative energy of each structure, in meV per atom: P) 36; Q) 0.

---

P) Material: ReMo2W
Method: DFT, GGA-PBEsol
State: optimized geometry Values from VASP.

```
&SYSTEM
  ibrav = 0, nat = 4, ntyp = 3
/
ATOMIC_SPECIES
Mo 95.94 Mo.upf
W 183.84 W.upf
Re 186.21 Re.upf
CELL_PARAMETERS angstrom
2.7068 0.0000 -0.0044
0.0000 4.4125 0.0000
-0.9176 0.0000 5.0923
ATOMIC_POSITIONS angstrom
Mo 1.3551 0.0000 3.8177
W -0.4588 2.2063 2.5463
Re 1.3534 2.2063 -0.0021
Mo 0.4341 0.0000 1.2704
```

Calculated values
Symmetry ... P2/m, No. 10
DOS at the Fermi energy ... 3.19 states/eV per cell
Density ... 15.3 Mg/m³

---

Q) Material: ReMo2W
Method: DFT, GGA-PBEsol
State: optimized geometry Values from VASP.

```
&SYSTEM
  ibrav = 0, nat = 4, ntyp = 3
/
ATOMIC_SPECIES
W 183.84 W.upf
Mo 95.94 Mo.upf
Re 186.21 Re.upf
CELL_PARAMETERS angstrom
-2.5237 -1.7399 0.5690
0.6952 -2.2353 -3.7516
3.4098 -0.9153 3.7834
ATOMIC_POSITIONS angstrom
W 1.6044 -2.5796 -0.7718
Mo 1.5756 -4.8839 0.5959
Mo -0.0250 -2.3087 1.3710
Re -0.9067 -1.9964 -1.5846
```

Calculated values
Symmetry ... Imm2, No. 44
DOS at the Fermi energy ... 3.03 states/eV per cell
Density ... 15.3 Mg/m³

---

R) Material: ReMo2W
Method: DFT, GGA-PBEsol
State: optimized geometry Values from VASP.

```
&SYSTEM
  ibrav = 0, nat = 4, ntyp = 3
/
ATOMIC_SPECIES
Mo 95.94 Mo.upf
Re 186.21 Re.upf
W 183.84 W.upf
CELL_PARAMETERS angstrom
2.7061 0.0000 0.0000
-0.9021 2.5514 0.0000
0.0000 0.0000 8.8166
ATOMIC_POSITIONS angstrom
Mo 0.0000 0.0000 6.5978
Re 0.9020 1.2757 4.4083
Mo 0.0000 0.0000 2.2188
W 0.9020 1.2757 0.0000
```

Calculated values
Symmetry ... Cmmm, No. 65
DOS at the Fermi energy ... 3.31 states/eV per cell
Density ... 15.3 Mg/m³

---

S) Material: ReMo2W
Method: DFT, GGA-PBEsol
State: optimized geometry Values from VASP.

```
&SYSTEM
  ibrav = 0, nat = 4, ntyp = 3
/
ATOMIC_SPECIES
Re 186.21 Re.upf
Mo 95.94 Mo.upf
W 183.84 W.upf
CELL_PARAMETERS angstrom
-3.1333 -1.4088 -2.7695
-1.4505 -4.1605 0.2419
-4.0627 -0.8362 1.5061
ATOMIC_POSITIONS angstrom
Re -4.3232 -3.2027 -0.5108
Mo 0.0000 0.0000 0.0000
W -2.1616 -1.6014 -0.2554
Mo -6.4849 -4.8041 -0.7662
```

Calculated values
Symmetry ... F-43m, No. 216
DOS at the Fermi energy ... 2.74 states/eV per cell
Density ... 15.4 Mg/m³

---

Relative energy of each structure, in meV per atom: P) 20; Q) 14; R) 37; S) 0.

---

P) Material: YReMo2
Method: DFT, GGA-PBEsol
State: optimized geometry Values from VASP.

```
&SYSTEM
  ibrav = 0, nat = 4, ntyp = 3
/
ATOMIC_SPECIES
Mo 95.94 Mo.upf
Re 186.21 Re.upf
Y 88.91 Y.upf
CELL_PARAMETERS angstrom
-3.0118 1.2046 -2.0561
-1.6298 -3.4587 0.3611
-2.1356 1.4198 3.9602
ATOMIC_POSITIONS angstrom
Mo -0.8149 -1.7294 0.1805
Re -3.3886 -0.4172 1.1326
Y -1.0678 0.7099 1.9801
Mo -1.5059 0.6023 -1.0280
```

Calculated values
Symmetry ... P4/mmm, No. 123
DOS at the Fermi energy ... 3.25 states/eV per cell
Density ... 11.1 Mg/m³

---

Q) Material: YReMo2
Method: DFT, GGA-PBEsol
State: optimized geometry Values from VASP.

```
&SYSTEM
  ibrav = 0, nat = 4, ntyp = 3
/
ATOMIC_SPECIES
Re 186.21 Re.upf
Mo 95.94 Mo.upf
Y 88.91 Y.upf
CELL_PARAMETERS angstrom
-0.5258 -2.1957 1.6616
0.3432 -0.8219 -2.6581
9.0606 -1.0409 1.4917
ATOMIC_POSITIONS angstrom
Re 4.7360 -0.5441 0.7797
Mo 6.6849 -2.2873 0.6174
Y 2.2124 -1.7735 -0.1190
Mo 8.8356 -1.0151 1.4547
```

Calculated values
Symmetry ... Cmm2, No. 35
DOS at the Fermi energy ... 3.14 states/eV per cell
Density ... 11.4 Mg/m³

---

Relative energy of each structure, in meV per atom: P) 331; Q) 0.